Compound: Fe2Co5
Source: the Alexandria database
Functional: GGA-PBEsol
Structure: optimized geometry

The structure in POSCAR format:
```
Fe2Co5
1.0
3.926 0.000 0.000
1.963 3.400 0.000
1.963 1.133 5.625
Co Fe
5 2
Cartesian
1.963 1.133 2.003
3.926 2.266 2.812
5.888 3.400 3.622
3.926 2.266 5.193
3.926 2.266 0.431
1.963 1.133 4.414
5.888 3.400 1.211
```

Properties
Space-group type   R-3m (166)
Relative energy among the computed polymorphs   0.37 kcal/mol of atoms
Energy of formation   0.4 eV/f.u.
E_tot   -56.17 eV per cell